Computed, not measured: a relaxed MoRuSe2Br crystal at the GGA-PBE level of DFT.

The structure belongs to space group P4/mmm (No. 123); the cell edges are 4.861, 4.861 and 5.063 Å and the angles 90.00°, 90.00° and 90.00°. The asymmetric unit holds Mo at (0.000, 0.000, 0.000), Ru at (0.500, 0.500, 0.500), Se at (0.000, 0.500, 0.500) and Br at (0.500, 0.500, 0.000).

Its uncorrected formation energy is 0.905 eV/atom.

Computed, not measured: a relaxed K2IrO2F4 crystal at the GGA-PBE level of DFT.

The structure belongs to space group C2/m (No. 12); the cell edges are 10.007, 5.981 and 4.817 Å and the angles 90.00°, 93.45° and 90.00°. The asymmetric unit holds K at (0.165, 0.000, 0.297), Ir at (0.000, 0.500, 0.000), O at (0.142, 0.500, 0.250) and F at (0.087, 0.256, 0.795).

Its uncorrected formation energy is -1.799 eV/atom.

Computed, not measured: a relaxed Ti2AlH3 crystal at the GGA-PBE level of DFT.

The structure belongs to space group C2/m (No. 12); the cell edges are 10.231, 2.929 and 8.397 Å and the angles 90.00°, 115.68° and 90.00°. The asymmetric unit holds Ti at (0.006, 0.000, 0.221), Ti at (0.169, 0.500, 0.597), Al at (0.160, 0.500, 0.076), H at (0.002, 0.500, 0.364), H at (0.158, 0.000, 0.731) and H at (0.166, 0.000, 0.450).

For the total energy, the calculation gives -31.9 eV per formula unit.

What is the formula in the first record?
MoRuSe2Br